First-principles (PBE) data for a geometry-optimized OsRu2Rh structure, as listed in Alexandria.

extended XYZ file:
```
4
Lattice="4.6996 0.0040 -0.0016 3.9206 2.5914 -0.0016 0.7780 0.2342 4.6315" Properties=species:S:1:pos:R:3 pbc="T T T"
Os 4.7110 1.4184 2.2990
Ru 8.6032 2.5902 0.0120
Rh 7.0570 2.1247 3.4683
Ru 2.3463 0.7064 1.1601
```

Calculated values
Space group   Cm (8)
Polymorph energy (0 for the lowest one)   67 meV/atom
Energy   -0.338 Ha/atom

First-principles (PBE) data for a geometry-optimized OsRu2Rh8 structure, as listed in Alexandria.

extended XYZ file:
```
11
Lattice="-3.7997 1.2062 0.9024 -2.3209 -5.5487 -2.3555 1.0682 -1.3003 6.2363" Properties=species:S:1:pos:R:3 pbc="T T T"
Ru -0.2225 -2.9182 2.9644
Rh -2.7366 -3.9719 3.0435
Ru -1.0303 -3.9309 0.9164
Rh -2.3159 -1.6709 1.7398
Rh -1.4874 -6.2652 2.1129
Rh -1.6803 -1.7609 4.5363
Os -1.8999 0.6031 0.4512
Rh -3.3722 -3.8819 0.2470
Rh -4.4508 -0.4879 0.4251
Rh -3.5651 0.6224 2.6703
Rh -0.6017 -5.1550 4.3582
```

Calculated values
Space group   Cmmm (65)
Polymorph energy (0 for the lowest one)   0 meV/atom
Energy   -0.285 Ha/atom

First-principles (PBE) data for a geometry-optimized OsRu2Rh structure, as listed in Alexandria.

extended XYZ file:
```
8
Lattice="-1.5565 1.8855 1.2205 -3.8742 -2.4510 -1.1606 4.5392 -3.3279 7.8772" Properties=species:S:1:pos:R:3 pbc="T T T"
Ru 0.9863 -2.5843 6.8230
Os -1.9979 -0.8727 0.3678
Rh 0.9836 -2.7806 4.0686
Ru -3.2907 -1.4086 2.6084
Ru -0.5753 -1.1259 2.5785
Rh -1.7318 -3.0633 4.0986
Ru -0.1725 -4.7526 5.6324
Os -4.7133 -1.1553 0.3978
```

Calculated values
Space group   Cm (8)
Polymorph energy (0 for the lowest one)   0 meV/atom
Energy   -0.341 Ha/atom

First-principles (PBE) data for a geometry-optimized OsRuRh4 structure, as listed in Alexandria.

extended XYZ file:
```
6
Lattice="2.7127 0.0000 0.0000 0.0000 3.8310 -0.0003 0.0000 0.0007 8.1486" Properties=species:S:1:pos:R:3 pbc="T T T"
Os 1.3564 0.0003 4.0743
Ru 0.0000 1.9155 -0.0001
Rh 0.0000 1.9159 2.7413
Rh 1.3564 0.0003 1.3411
Rh 1.3564 3.8314 6.8073
Rh 0.0000 1.9158 5.4071
```

Calculated values
Space group   Pmmm (47)
Polymorph energy (0 for the lowest one)   0 meV/atom
Energy   -0.305 Ha/atom

Which value of polymorph energy (0 for the lowest one) does entry 1 give?
67 meV/atom